No. 1
FeGeAs | OQMD | PBE-GGA | optimized geometry; final energy = -5.83 eV per atom; size of the total moment = 0.073 μB/f.u.; space group = F-43m (216)
1.0
-1.3917 -3.6628 0.9787
-3.4096 -1.3772 -1.6698
0.1420 -3.0015 -2.6984
Ge As Fe
1 1 1
Direct
0.7500 0.7500 0.7500
0.2500 0.2500 0.2500
0.0000 0.0000 0.0000

No. 2
CsTcAgSe3 | OQMD | PBE-GGA | optimized geometry; offset from the most stable computed form = 0.0015 eV per atom; size of the total moment = 2.609 μB/f.u.; space group = Pnma (62)
1.0
15.8296 0.0000 0.0000
0.0000 3.9291 0.0000
0.0000 0.0000 10.5603
Cs Ag Se Tc
4 4 12 4
Direct
0.7330 0.2500 0.5525
0.2670 0.7500 0.4475
0.2330 0.2500 0.9475
0.7670 0.7500 0.0525
0.0168 0.7500 0.9071
0.5168 0.7500 0.5929
0.4832 0.2500 0.4071
0.9832 0.2500 0.0929
0.0760 0.2500 0.4322
0.0903 0.7500 0.1553
0.8807 0.2500 0.2870
0.1193 0.7500 0.7130
0.4097 0.2500 0.6553
0.3807 0.2500 0.2130
0.5903 0.7500 0.3447
0.9097 0.2500 0.8447
0.4240 0.7500 0.9322
0.6193 0.7500 0.7870
0.5760 0.2500 0.0678
0.9240 0.7500 0.5678
0.5151 0.2500 0.8417
0.0151 0.2500 0.6583
0.9849 0.7500 0.3417
0.4849 0.7500 0.1583

No. 3
LaPPdO | OQMD | PBE-GGA | optimized geometry; offset from the most stable computed form = 0.0000 eV per atom; size of the total moment = 0.002 μB/f.u.; space group = P4/nmm (129)
1.0
4.1618 0.0000 0.0000
0.0000 4.1618 0.0000
0.0000 0.0000 8.2602
La Pd O P
2 2 2 2
Direct
0.5000 0.0000 0.8572
0.0000 0.5000 0.1428
0.5000 0.5000 0.5000
0.0000 0.0000 0.5000
0.5000 0.5000 0.0000
0.0000 0.0000 0.0000
0.5000 0.0000 0.3525
0.0000 0.5000 0.6475

No. 4
ErSbN2O | OQMD | PBE-GGA | optimized geometry; final energy = -6.99 eV per atom; size of the total moment = 0.000 μB/f.u.; space group = Ima2 (46)
1.0
1.3804 -5.1857 1.8080
-5.3307 1.8691 0.3952
-0.1642 1.2748 -5.5148
Sb N O Er
2 4 2 2
Direct
0.7152 0.2152 0.5000
0.7152 0.7152 0.0000
0.2159 0.5365 0.8247
0.7118 0.0365 0.8206
0.2159 0.8912 0.1794
0.7118 0.3912 0.1753
0.6043 0.4780 0.6263
0.8516 0.9780 0.3737
0.1760 0.4599 0.2161
0.2438 0.9599 0.7839